The following is a GGA+U calculation of a relaxed AlCoP2O crystal, from Alexandria via LeMat-Bulk.

a b c (Å): 4.951 4.951 3.330
angles (deg): 90.00 90.00 90.00
Each line ends with the local moment (μB).
Fractional coordinates of all 5 atoms:
P 0.000 0.500 0.000  -0.02
P 0.500 0.000 0.000  -0.02
Co 0.500 0.500 0.500  2.19
Al 0.000 0.000 0.000  0.00
O 0.000 0.000 0.500  -0.02

Calculated values
**Energy**: -4.846 eV/atom
**SG**: P4/mmm, No. 123